First-principles (PBEsol) data for a geometry-optimized ZnFeRh2 structure, as listed in the Alexandria database.

Cell: 4.162 4.162 2.995 Å, 90.00 90.00 90.00°
Space group P4/mmm (No. 123)
Asymmetric unit:
Zn (0.000, 0.000, 0.000)
Fe (0.500, 0.500, 0.000)
Rh (0.000, 0.500, 0.500)

Output
Raw total energy = -6.8836 eV per atom
Magnetic moment = 4.18 μB/f.u.

=====

First-principles (PBEsol) data for a geometry-optimized ZnFeRh2 structure, as listed in the Alexandria database.

Cell: 5.952 5.952 5.952 Å, 90.00 90.00 90.00°
Space group F-43m (No. 216)
Asymmetric unit:
Zn (0.000, 0.000, 0.000)
Fe (0.250, 0.250, 0.250)
Rh (0.000, 0.000, 0.500)
Rh (0.250, 0.250, 0.750)

Output
Raw total energy = -6.6146 eV per atom
Magnetic moment = 4.01 μB/f.u.

=====

First-principles (PBEsol) data for a geometry-optimized ZnFeRh2 structure, as listed in the Alexandria database.

Cell: 2.6875 2.6875 24.9723 Å, 90.00 90.00 120.00°
Space group R-3m (No. 166, hexagonal axes)
Asymmetric unit:
Zn (0.0000, 0.0000, 0.0000)
Fe (0.0000, 0.0000, 0.5000)
Rh (0.0000, 0.0000, 0.2483)

Output
Raw total energy = -6.8259 eV per atom
Magnetic moment = 3.33 μB/f.u.

=====

First-principles (PBEsol) data for a geometry-optimized ZnFeRh2 structure, as listed in the Alexandria database.

Cell: 2.663 3.779 5.133 Å, 90.00 90.00 90.00°
Space group Pmm2 (No. 25)
Asymmetric unit:
Zn (0.000, 0.000, 0.000)
Fe (0.500, 0.500, 0.261)
Rh (0.000, 0.000, 0.490)
Rh (0.500, 0.500, 0.766)

Output
Raw total energy = -6.7775 eV per atom
Magnetic moment = 3.14 μB/f.u.

=====

First-principles (PBEsol) data for a geometry-optimized Zr3FeRh structure, as listed in the Alexandria database.

Cell: 4.901 4.901 4.901 Å, 90.00 90.00 90.00°
Space group Pm-3m (No. 221)
Asymmetric unit:
Zr (0.000, 0.000, 0.500)
Fe (0.500, 0.500, 0.500)
Rh (0.000, 0.000, 0.000)

Output
Raw total energy = -8.1680 eV per atom
Magnetic moment = 2.73 μB/f.u.

=====

First-principles (PBEsol) data for a geometry-optimized ZrFeRh2 structure, as listed in the Alexandria database.

Cell: 6.173 6.173 6.173 Å, 90.00 90.00 90.00°
Space group F-43m (No. 216)
Asymmetric unit:
Zr (0.000, 0.000, 0.000)
Fe (0.250, 0.250, 0.750)
Rh (0.000, 0.000, 0.500)
Rh (0.250, 0.250, 0.250)

Output
Raw total energy = -8.7731 eV per atom
Magnetic moment = 2.72 μB/f.u.

=====

First-principles (PBEsol) data for a geometry-optimized ZrFeRh2 structure, as listed in the Alexandria database.

Cell: 3.805 3.805 8.098 Å, 90.00 90.00 90.00°
Space group I-4m2 (No. 119)
Asymmetric unit:
Zr (0.000, 0.000, 0.000)
Fe (0.000, 0.500, 0.250)
Rh (0.000, 0.000, 0.500)
Rh (0.000, 0.500, 0.750)

Output
Raw total energy = -8.9425 eV per atom
Magnetic moment = 3.14 μB/f.u.

=====

First-principles (PBEsol) data for a geometry-optimized ZrFe4Rh structure, as listed in the Alexandria database.

Cell: 6.740 6.740 6.740 Å, 90.00 90.00 90.00°
Space group F-43m (No. 216)
Asymmetric unit:
Zr (0.000, 0.000, 0.000)
Fe (0.125, 0.125, 0.375)
Rh (0.250, 0.250, 0.750)

Output
Raw total energy = -9.0355 eV per atom
Magnetic moment = 7.94 μB/f.u.

=====

First-principles (PBEsol) data for a geometry-optimized FeRu structure, as listed in the Alexandria database.

Cell: 8.433 2.569 4.389 Å, 90.00 100.41 90.00°
Space group C2/m (No. 12)
Asymmetric unit:
Fe (0.129, 0.000, 0.382)
Ru (0.122, 0.500, 0.859)

Output
Raw total energy = -9.4170 eV per atom
Magnetic moment = 0.05 μB/f.u.

=====

First-principles (PBEsol) data for a geometry-optimized FeRu structure, as listed in the Alexandria database.

Cell: 2.893 4.124 8.236 Å, 90.00 90.00 90.00°
Space group Imma (No. 74)
Asymmetric unit:
Fe (0.000, 0.250, 0.137)
Ru (0.000, 0.250, 0.615)

Output
Raw total energy = -9.3783 eV per atom
Magnetic moment = 2.63 μB/f.u.

=====

First-principles (PBEsol) data for a geometry-optimized FeRu structure, as listed in the Alexandria database.

Cell: 3.4535 3.4535 5.4017 Å, 90.00 90.00 120.00°
Space group P6_3/mmc (No. 194)
Asymmetric unit:
Fe (0.3333, 0.6667, 0.2500)
Ru (0.0000, 0.0000, 0.0000)

Output
Raw total energy = -8.6213 eV per atom
Magnetic moment = 2.36 μB/f.u.

=====

First-principles (PBEsol) data for a geometry-optimized FeRu structure, as listed in the Alexandria database.

Cell: 4.475 4.053 5.119 Å, 90.00 90.00 90.00°
Space group Pnma (No. 62)
Asymmetric unit:
Fe (0.079, 0.250, 0.124)
Ru (0.090, 0.250, 0.627)

Output
Raw total energy = -9.5274 eV per atom
Magnetic moment = 0.00 μB/f.u.

=====

First-principles (PBEsol) data for a geometry-optimized FeRu structure, as listed in the Alexandria database.

Cell: 5.871 5.871 5.871 Å, 90.00 90.00 90.00°
Space group Fd-3m (No. 227, origin choice 2)
Asymmetric unit:
Fe (0.125, 0.125, 0.125)
Ru (0.125, 0.125, 0.625)

Output
Raw total energy = -9.2400 eV per atom
Magnetic moment = 3.26 μB/f.u.

=====

First-principles (PBEsol) data for a geometry-optimized Fe3Ru structure, as listed in the Alexandria database.

Cell: 2.5031 2.5031 24.0732 Å, 90.00 90.00 120.00°
Space group R-3m (No. 166, hexagonal axes)
Asymmetric unit:
Fe (0.0000, 0.0000, 0.0000)
Fe (0.0000, 0.0000, 0.2535)
Ru (0.0000, 0.0000, 0.5000)

Output
Raw total energy = -9.0707 eV per atom
Magnetic moment = 1.67 μB/f.u.

=====

First-principles (PBEsol) data for a geometry-optimized Fe3Ru structure, as listed in the Alexandria database.

Cell: 2.795 2.795 5.911 Å, 90.00 90.00 90.00°
Space group P4/mmm (No. 123)
Asymmetric unit:
Fe (0.000, 0.000, 0.000)
Fe (0.500, 0.500, 0.234)
Ru (0.000, 0.000, 0.500)

Output
Raw total energy = -9.1506 eV per atom
Magnetic moment = 6.93 μB/f.u.

=====

First-principles (PBEsol) data for a geometry-optimized FeRu structure, as listed in the Alexandria database.

Cell: 5.088 5.088 5.088 Å, 90.00 90.00 90.00°
Space group F-43m (No. 216)
Asymmetric unit:
Fe (0.000, 0.000, 0.000)
Ru (0.250, 0.250, 0.250)

Output
Raw total energy = -8.2649 eV per atom
Magnetic moment = 0.00 μB/f.u.

=====

First-principles (PBEsol) data for a geometry-optimized Fe3Ru structure, as listed in the Alexandria database.

Cell: 2.839 4.082 8.088 Å, 90.00 90.00 90.00°
Space group Immm (No. 71)
Asymmetric unit:
Fe (0.000, 0.000, 0.000)
Fe (0.000, 0.500, 0.255)
Ru (0.000, 0.000, 0.500)

Output
Raw total energy = -9.1330 eV per atom
Magnetic moment = 7.65 μB/f.u.

=====

First-principles (PBEsol) data for a geometry-optimized FeSbRu2 structure, as listed in the Alexandria database.

Cell: 2.850 4.275 4.881 Å, 90.00 93.64 90.00°
Space group P2/m (No. 10)
Asymmetric unit:
Fe (0.000, 0.000, 0.000)
Sb (0.500, 0.000, 0.500)
Ru (0.245, 0.500, 0.767)

Output
Formation energy from raw total energies = 0.384 eV/atom
Raw total energy = -8.0827 eV per atom
Magnetic moment = 3.30 μB/f.u.

=====

First-principles (PBEsol) data for a geometry-optimized FeSb2Ru structure, as listed in the Alexandria database.

Cell: 6.595 6.595 6.595 Å, 90.00 90.00 90.00°
Space group F-43m (No. 216)
Asymmetric unit:
Fe (0.000, 0.000, 0.000)
Sb (0.000, 0.000, 0.500)
Sb (0.250, 0.250, 0.250)
Ru (0.250, 0.250, 0.750)

Output
Excess energy over the best structure of this formula in the dataset = 525 meV per atom
Formation energy from raw total energies = 0.667 eV/atom
Raw total energy = -6.3956 eV per atom
Magnetic moment = 3.80 μB/f.u.

=====

First-principles (PBEsol) data for a geometry-optimized FeSb2Ru structure, as listed in the Alexandria database.

Cell: 3.092 3.092 7.705 Å, 90.00 90.00 90.00°
Space group P4mm (No. 99)
Asymmetric unit:
Fe (0.000, 0.000, 0.000)
Sb (0.000, 0.000, 0.401)
Sb (0.500, 0.500, 0.800)
Ru (0.500, 0.500, 0.190)

Output
Excess energy over the best structure of this formula in the dataset = 0 meV per atom
Formation energy from raw total energies = 0.142 eV/atom
Raw total energy = -6.9202 eV per atom
Magnetic moment = 2.31 μB/f.u.